Record 1
## K2SeCl (GGA-PBE)

Data for a relaxed structure of K2SeCl.

Summary:
Its total energy is -2.952 eV per atom. The value obtained for the formation energy from raw total energies is -1.07 eV per atom. For the density of states at the Fermi level, the calculation gives 3.8 states/eV/f.u. For the magnetization, the calculation gives 0.252 μB/atom.

extended XYZ file:
```
4
Lattice="-7.144 0.700 2.193 -2.918 -0.406 6.903 5.453 3.016 -4.184" Properties=species:S:1:pos:R:3 pbc="T T T"
K 0.000 0.000 0.000
K -1.248 1.378 3.634
Cl -3.361 1.931 1.279
Se -5.031 0.147 4.548
```

Record 2
## Sm2HgPd5 (GGA-PBE)

Data for a relaxed structure of Sm2HgPd5.

Summary:
The energy relative to the elements comes out at -5.6 eV/f.u. Its total energy is -5.165 eV per atom. For the density of states at the Fermi level, the calculation gives 2.5 states/eV/f.u. For the magnetization, the calculation gives 0.000 μB/atom.

extended XYZ file:
```
8
Lattice="-2.584 -2.449 4.960 -4.099 -2.829 -3.532 5.825 -0.587 -1.013" Properties=species:S:1:pos:R:3 pbc="T T T"
Sm -0.947 -2.847 -1.899
Pd -2.238 -4.072 0.582
Pd 1.966 -3.141 -2.404
Hg 1.103 -1.432 -0.133
Sm -0.189 -2.657 2.347
Pd 2.724 -2.951 1.840
Pd 4.015 -1.727 -0.639
Pd 0.675 -4.365 0.075
```

Record 3
## Dy2Y6Er2Tm (GGA-PBE)

Data for a relaxed structure of Dy2Y6Er2Tm.

Summary:
The energy relative to the elements comes out at 1.6 eV/f.u. Its total energy is -5.452 eV per atom. For the density of states at the Fermi level, the calculation gives 18.2 states/eV/f.u. For the magnetization, the calculation gives 0.000 μB/atom.

extended XYZ file:
```
11
Lattice="-4.064 3.003 4.292 -1.417 -3.274 -5.588 4.638 -8.652 6.740" Properties=species:S:1:pos:R:3 pbc="T T T"
Y -0.592 -6.290 3.837
Y 1.669 -5.985 6.477
Dy -3.707 2.157 2.961
Tm 2.319 -4.326 3.370
Y -3.321 -1.019 1.985
Er 0.123 -5.753 0.689
Er -0.966 -3.170 4.755
Y 2.478 -7.904 3.458
Dy -1.773 -2.428 -4.257
Y -2.512 -2.937 -1.034
Y -0.251 -2.633 1.606
```